A plane-wave DFT calculation with GGA-PBE was carried out for a geometry-optimized K2SeO structure.

abc: 11.822 4.366 10.304
angles: 90.00 124.18 90.00
Space group C2/m (No. 12)
One atom of each set of equivalent atoms:
1 K 0.067 0.000 0.405
2 K 0.221 0.000 0.150
3 Se 0.007 0.500 0.885
4 O 0.069 0.500 0.577

Summary:
Relative energy among the computed polymorphs in meV per atom: 114
Uncorrected formation energy in meV per atom: -971
Calculated volume in Å³/f.u.: 110

***

A plane-wave DFT calculation with GGA-PBE was carried out for a geometry-optimized K2SeO structure.

abc: 4.385 16.433 5.754
angles: 90.00 90.00 90.00
Space group Cmc2_1 (No. 36)
One atom of each set of equivalent atoms:
1 K 0.000 0.069 0.000
2 K 0.000 0.236 0.372
3 Se 0.000 0.407 0.963
4 O 0.000 0.339 0.698

Summary:
Relative energy among the computed polymorphs in meV per atom: 20
Uncorrected formation energy in meV per atom: -1065
Calculated volume in Å³/f.u.: 104

***

Per-record magnetic moment, μB per formula unit: 0.04, 0.00
Per-record density, Mg/m³: 2.614, 2.774
Per-record electronic total energy, eV per atom: -3.63, -3.72